The following is a DFT calculation (GGA+U) of crystalline AgMo2F2 at its relaxed geometry.

a = 3.685 Å, b = 3.685 Å, c = 6.348 Å
α = 73.13°, β = 73.13°, γ = 90.00°
Sites, in units of the cell vectors:
1 F 0.750 0.250 0.500
2 F 0.250 0.750 0.500
3 Ag 0.000 0.000 0.000
4 Mo 0.618 0.618 0.764
5 Mo 0.382 0.382 0.236

Computed properties:
As for the space group: I4/mmm, No. 139. The energy relative to the lowest polymorph listed for this composition is 0 meV per atom. As for the density of states at the Fermi level: 0.3929 states/eV/atom. For the total energy, the calculation gives -22.5 eV for the cell shown.